1.
Compound: CaCoRu
Source: the Alexandria database
Functional: GGA-PBE
Structure: relaxed

Results
Final energy (eV per atom): -5.8400
Relative energy among the computed polymorphs (meV per atom): 79

abc: 5.703 5.703 5.703
angles: 151.25 143.50 47.11
Sites, in units of the cell vectors:
Co (0.290, 0.290, 0.000)
Ca (0.998, 0.998, 0.000)
Ru (0.712, 0.712, 0.000)

---

2.
Compound: CaCoRu2
Source: the Alexandria database
Functional: GGA-PBE
Structure: relaxed

Results
Final energy (eV per atom): -6.4205
Relative energy among the computed polymorphs (meV per atom): 151

abc: 5.437 5.437 5.437
angles: 148.72 129.38 60.72
Last column: magnetic moment on the atom in μB.
Sites, in units of the cell vectors:
Ca (0.497, 0.497, 0.000)  -0.02
Ru (0.775, 0.275, 0.500)  0.34
Co (0.224, 0.724, 0.500)  1.63
Ru (0.004, 0.004, 0.000)  0.41

---

| no. | total magnetic moment (μB/cell) |
| --- | --- |
| 1 | 0.00 |
| 2 | 2.33 |